(a)
The following is a GGA-PBE calculation of a relaxed structure of BaMnCo, from Alexandria via LeMat-Bulk.

magnetic moment = 9.5 μB/cell

a b c (Å): 4.1645 4.1723 9.5578
angles (deg): 102.56 102.54 90.01
Last column: nearest neighbours and their distance in Å.
Space group P-1 (No. 2)
Inequivalent atoms, fractional coordinates:
1 Ba 0.1484 0.1483 0.2978 (multiplicity 2)  4 Mn 3.28, 4 Co 3.42
2 Mn 0.4310 0.4310 0.8615 (multiplicity 2)  4 Co 2.43-2.44, 1 Mn 2.52
3 Co 0.0000 0.5000 0.0000 (multiplicity 1)  4 Mn 2.43
4 Co 0.5000 0.0000 0.0000 (multiplicity 1)  4 Mn 2.44


(b)
The following is a GGA-PBE calculation of a relaxed structure of BaMnCo, from Alexandria via LeMat-Bulk.

magnetic moment = 8.8 μB/cell

a b c (Å): 3.4025 3.4025 11.4321
angles (deg): 90.00 90.00 90.00
Last column: nearest neighbours and their distance in Å.
Space group I4mm (No. 107)
Inequivalent atoms, fractional coordinates:
1 Ba 0.0000 0.0000 0.0000 (multiplicity 2)  1 Mn 3.13, 5 Co 3.20-3.48, 4 Ba 3.40
2 Mn 0.0000 0.0000 0.2737 (multiplicity 2)  4 Co 2.48
3 Co 0.0000 0.0000 0.7200 (multiplicity 2)  4 Mn 2.48


(c)
The following is a GGA-PBE calculation of a relaxed structure of BaMnCo, from Alexandria via LeMat-Bulk.

magnetic moment = 8.1 μB/cell

a b c (Å): 4.0275 4.0275 9.3800
angles (deg): 90.00 90.00 90.00
Last column: nearest neighbours and their distance in Å.
Space group P4/nmm (No. 129, origin choice 2)
Inequivalent atoms, fractional coordinates:
1 Ba 0.2500 0.2500 0.2004 (multiplicity 2)  4 Co 3.20, 4 Mn 3.46
2 Mn 0.2500 0.7500 0.5000 (multiplicity 2)  4 Co 2.43
3 Co 0.2500 0.2500 0.6445 (multiplicity 2)  4 Mn 2.43


(d)
The following is a GGA-PBE calculation of a relaxed structure of BaMnCo, from Alexandria via LeMat-Bulk.

magnetic moment = 0.0 μB/cell

a b c (Å): 6.2556 5.2520 9.6865
angles (deg): 90.00 91.09 90.00
Last column: nearest neighbours and their distance in Å.
Space group C2/m (No. 12)
Inequivalent atoms, fractional coordinates:
1 Ba 0.2458 0.0000 0.2820 (multiplicity 4)  3 Co 3.19-3.47, 4 Mn 3.31-3.52
2 Mn 0.0000 0.2166 0.0000 (multiplicity 4)  4 Co 2.19-2.33, 1 Mn 2.27
3 Co 0.2134 0.5000 0.0959 (multiplicity 4)  4 Mn 2.19-2.33


Which of them is most stable? Easy: (c).


(a)
The following is a GGA-PBE calculation of a relaxed structure of BaMnCo, from Alexandria via LeMat-Bulk.

magnetic moment = 16.8 μB/cell

a b c (Å): 4.0649 4.0649 18.8717
angles (deg): 90.00 90.00 90.00
Last column: nearest neighbours and their distance in Å.
Space group I4/mmm (No. 139)
Inequivalent atoms, fractional coordinates:
1 Ba 0.0000 0.0000 0.1506 (multiplicity 4)  4 Co 3.25, 4 Mn 3.49
2 Mn 0.0000 0.5000 0.0000 (multiplicity 4)  4 Co 2.43
3 Co 0.0000 0.0000 0.4295 (multiplicity 4)  4 Mn 2.43, 1 Co 2.66


(b)
The following is a GGA-PBE calculation of a relaxed structure of BaMnCo, from Alexandria via LeMat-Bulk.

magnetic moment = 0.2 μB/cell

a b c (Å): 3.6703 3.7309 10.5208
angles (deg): 79.90 89.98 89.96
Last column: nearest neighbours and their distance in Å.
Space group P1 (No. 1)
Inequivalent atoms, fractional coordinates:
1 Ba 0.0000 0.0000 0.0000 (multiplicity 1)  1 Co 2.76
2 Ba 0.5002 0.3170 0.3702 (multiplicity 1)  1 Co 2.77
3 Mn 0.4959 0.3331 0.7433 (multiplicity 1)  2 Mn 2.20, 2 Co 2.28-2.32
4 Mn 0.9959 0.3903 0.6269 (multiplicity 1)  2 Mn 2.20, 2 Co 2.28-2.32
5 Co 0.4953 0.8900 0.6133 (multiplicity 1)  2 Mn 2.28-2.32, 2 Co 2.36
6 Co 0.9952 0.8191 0.7567 (multiplicity 1)  2 Mn 2.28-2.32, 2 Co 2.36


Which of them is most stable? Easy: (a).


(a)
The following is a GGA-PBE calculation of a relaxed structure of BaMn2Co, from Alexandria via LeMat-Bulk.

magnetic moment = 1.0 μB/cell

a b c (Å): 3.3889 4.2323 6.0008
angles (deg): 90.00 103.00 90.00
Last column: nearest neighbours and their distance in Å.
Space group P2/m (No. 10)
Inequivalent atoms, fractional coordinates:
1 Ba 0.0000 0.0000 0.0000 (multiplicity 1)  2 Co 3.10, 2 Ba 3.39
2 Mn 0.2818 0.5000 0.6011 (multiplicity 2)  2 Mn 2.02-2.11
3 Co 0.5000 0.0000 0.5000 (multiplicity 1)  4 Mn 2.37


(b)
The following is a GGA-PBE calculation of a relaxed structure of BaMn2Co, from Alexandria via LeMat-Bulk.

magnetic moment = 17.3 μB/cell

a b c (Å): 5.8396 10.1674 3.1243
angles (deg): 90.00 121.03 90.00
Last column: nearest neighbours and their distance in Å.
Space group C2/m (No. 12)
Inequivalent atoms, fractional coordinates:
1 Ba 0.0000 0.0000 0.0000 (multiplicity 2)  4 Co 2.92-2.98, 4 Mn 2.95, 2 Ba 3.12
2 Mn 0.2500 0.2500 0.5000 (multiplicity 4)  6 Mn 2.92-3.12, 2 Ba 2.95, 2 Co 2.95
3 Co 0.0000 0.5000 0.0000 (multiplicity 2)  4 Ba 2.92-2.98, 4 Mn 2.95, 2 Co 3.12


Which of them is most stable? Easy: (a).


(a)
The following is a GGA-PBE calculation of a relaxed structure of BaMnCo3, from Alexandria via LeMat-Bulk.

magnetic moment = 3.1 μB/cell

a b c (Å): 4.7285 4.7285 4.7285
angles (deg): 90.00 90.00 90.00
Last column: nearest neighbours and their distance in Å.
Space group Pm-3m (No. 221)
Inequivalent atoms, fractional coordinates:
1 Ba 0.0000 0.0000 0.0000 (multiplicity 1)  6 Co 2.36
2 Mn 0.5000 0.5000 0.5000 (multiplicity 1)  12 Co 3.34
3 Co 0.0000 0.0000 0.5000 (multiplicity 3)  2 Ba 2.36


(b)
The following is a GGA-PBE calculation of a relaxed structure of BaMnCo3, from Alexandria via LeMat-Bulk.

magnetic moment = 3.0 μB/cell

a b c (Å): 4.4628 4.4628 4.4628
angles (deg): 90.00 90.00 90.00
Last column: nearest neighbours and their distance in Å.
Space group Pm-3m (No. 221)
Inequivalent atoms, fractional coordinates:
1 Ba 0.0000 0.0000 0.0000 (multiplicity 1)  12 Co 3.16
2 Mn 0.5000 0.5000 0.5000 (multiplicity 1)  6 Co 2.23
3 Co 0.0000 0.5000 0.5000 (multiplicity 3)  2 Mn 2.23


Which of them is most stable? Easy: (b).


(a)
The following is a GGA-PBE calculation of a relaxed structure of BaCo2Mo, from Alexandria via LeMat-Bulk.

magnetic moment = 0.0 μB/cell

a b c (Å): 3.6917 5.8887 7.8878
angles (deg): 90.00 90.00 90.00
Last column: nearest neighbours and their distance in Å.
Space group Immm (No. 71)
Inequivalent atoms, fractional coordinates:
1 Ba 0.0000 0.0000 0.0000 (multiplicity 2)  8 Co 3.12-3.27, 4 Mo 3.48
2 Co 0.0000 0.5000 0.1805 (multiplicity 4)  2 Mo 2.33
3 Mo 0.0000 0.0000 0.5000 (multiplicity 2)  4 Co 2.33


(b)
The following is a GGA-PBE calculation of a relaxed structure of BaCo2Mo, from Alexandria via LeMat-Bulk.

magnetic moment = 4.3 μB/cell

a b c (Å): 5.0494 5.0494 15.1482
angles (deg): 90.00 90.00 90.00
Last column: nearest neighbours and their distance in Å.
Space group I4_1/amd (No. 141, origin choice 2)
Inequivalent atoms, fractional coordinates:
1 Ba 0.0000 0.2500 0.3750 (multiplicity 4)  8 Co 3.40, 4 Mo 3.57
2 Co 0.0000 0.0000 0.0000 (multiplicity 8)  2 Mo 2.28, 2 Co 2.52
3 Mo 0.0000 0.2500 0.8750 (multiplicity 4)  4 Co 2.28


Which of them is most stable? Easy: (b).


(a)
The following is a GGA-PBE calculation of a relaxed structure of BaCo3Mo, from Alexandria via LeMat-Bulk.

magnetic moment = 1.5 μB/cell

a b c (Å): 4.6392 4.6392 4.6392
angles (deg): 90.00 90.00 90.00
Last column: nearest neighbours and their distance in Å.
Space group Pm-3m (No. 221)
Inequivalent atoms, fractional coordinates:
1 Ba 0.0000 0.0000 0.0000 (multiplicity 1)  12 Co 3.28
2 Co 0.0000 0.5000 0.5000 (multiplicity 3)  2 Mo 2.32
3 Mo 0.5000 0.5000 0.5000 (multiplicity 1)  6 Co 2.32


(b)
The following is a GGA-PBE calculation of a relaxed structure of BaCo3Mo, from Alexandria via LeMat-Bulk.

magnetic moment = 5.7 μB/cell

a b c (Å): 4.7143 4.7143 4.7143
angles (deg): 90.00 90.00 90.00
Last column: nearest neighbours and their distance in Å.
Space group Pm-3m (No. 221)
Inequivalent atoms, fractional coordinates:
1 Ba 0.0000 0.0000 0.0000 (multiplicity 1)  6 Co 2.36
2 Co 0.0000 0.0000 0.5000 (multiplicity 3)  2 Ba 2.36
3 Mo 0.5000 0.5000 0.5000 (multiplicity 1)  12 Co 3.33


Which of them is most stable? Easy: (a).